# 1
La2Rh2Au | SCAN | single point on PBEsol structure

Calculated values
* formation enthalpy at 0 K: -656.2 meV per atom
* energy relative to the lowest polymorph listed for this composition: 178 meV per atom

Cell lengths 3.894, 3.894, 15.205 Å; angles 90.00, 90.00, 90.00 degrees
Space group I4/mmm (No. 139)
Asymmetric unit:
La (0.000, 0.000, 0.120) [4 per cell]
Rh (0.000, 0.500, 0.250) [4 per cell]
Au (0.000, 0.000, 0.500) [2 per cell]



# 2
La3BeAlS7 | SCAN | single point on PBEsol structure

Calculated values
* uncorrected formation energy: -24.013 eV per formula unit

Cell lengths 10.0446, 10.0446, 5.8960 Å; angles 90.00, 90.00, 120.00 degrees
Space group P6_3 (No. 173)
Asymmetric unit:
La (0.1437, 0.3904, 0.0000) [6 per cell]
Be (0.3333, 0.6667, 0.4085) [2 per cell]
Al (0.0000, 0.0000, 0.2891) [2 per cell]
S (0.0811, 0.2199, 0.5441) [6 per cell]
S (0.1089, 0.5890, 0.2842) [6 per cell]
S (0.3333, 0.6667, 0.7635) [2 per cell]



# 3
Cu2SiNi | SCAN | single point on PBEsol structure

Calculated values
* uncorrected formation energy: -0.806 eV per formula unit

Cell lengths 3.433, 3.433, 7.481 Å; angles 90.00, 90.00, 90.00 degrees
Space group I4/mmm (No. 139)
Asymmetric unit:
Cu (0.000, 0.500, 0.250) [4 per cell]
Si (0.000, 0.000, 0.000) [2 per cell]
Ni (0.000, 0.000, 0.500) [2 per cell]



# 4
BeIn4Au | SCAN | single point on PBEsol structure

Calculated values
* formation enthalpy at 0 K: 669.4 meV per atom

Cell lengths 8.294, 8.294, 8.294 Å; angles 90.00, 90.00, 90.00 degrees
Space group F-43m (No. 216)
Asymmetric unit:
Be (0.000, 0.000, 0.000) [4 per cell]
In (0.125, 0.125, 0.375) [16 per cell]
Au (0.250, 0.250, 0.750) [4 per cell]



# 5
TlCuP3 | SCAN | single point on PBEsol structure

Calculated values
* formation enthalpy at 0 K: 1920.9 meV per atom

Cell lengths 5.018, 5.018, 5.018 Å; angles 90.00, 90.00, 90.00 degrees
Space group Pm-3m (No. 221)
Asymmetric unit:
Tl (0.000, 0.000, 0.000) [1 per cell]
Cu (0.500, 0.500, 0.500) [1 per cell]
P (0.000, 0.000, 0.500) [3 per cell]



# 6
Lu2B6Rh9 | SCAN | single point on PBEsol structure

Calculated values
* formation enthalpy at 0 K: -740.9 meV per atom

Cell lengths 5.5008, 5.5008, 8.4769 Å; angles 90.00, 90.00, 120.00 degrees
Space group P6/mmm (No. 191)
Asymmetric unit:
Lu (0.0000, 0.0000, 0.2039) [2 per cell]
B (0.3333, 0.6667, 0.1676) [4 per cell]
B (0.3333, 0.6667, 0.5000) [2 per cell]
Rh (0.0000, 0.5000, 0.0000) [3 per cell]
Rh (0.0000, 0.5000, 0.3352) [6 per cell]



# 7
Zr4Sc5 | SCAN | single point on PBEsol structure

Calculated values
* formation enthalpy at 0 K: 47.9 meV per atom
* energy relative to the lowest polymorph listed for this composition: 0 meV per atom

Cell lengths 8.5740, 8.5740, 6.3255 Å; angles 90.00, 90.00, 120.00 degrees
Space group P6_3/mcm (No. 193)
Asymmetric unit:
Zr (0.0000, 0.0000, 0.0000) [2 per cell]
Zr (0.0000, 0.3276, 0.2500) [6 per cell]
Sc (0.0000, 0.3348, 0.7500) [6 per cell]
Sc (0.3333, 0.6667, 0.0000) [4 per cell]



# 8
Li2CaTa | SCAN | single point on PBEsol structure

Calculated values
* formation enthalpy at 0 K: 720.3 meV per atom
* energy relative to the lowest polymorph listed for this composition: 102 meV per atom

Cell lengths 2.855, 5.486, 11.315 Å; angles 90.00, 90.00, 90.00 degrees
Space group Immm (No. 71)
Asymmetric unit:
Li (0.000, 0.000, 0.231) [4 per cell]
Ca (0.000, 0.500, 0.000) [2 per cell]
Ta (0.000, 0.500, 0.500) [2 per cell]



# 9
Eu2MgS4 | SCAN | single point on PBEsol structure

Calculated values
* uncorrected formation energy: -11.982 eV per formula unit

Cell lengths 11.230, 11.230, 11.230 Å; angles 90.00, 90.00, 90.00 degrees
Space group Fd-3m (No. 227, origin choice 2)
Asymmetric unit:
Eu (0.000, 0.000, 0.000) [16 per cell]
Mg (0.125, 0.125, 0.625) [8 per cell]
S (0.003, 0.003, 0.247) [32 per cell]



# 10
Ho2MgS4 | SCAN | single point on PBEsol structure

Calculated values
* uncorrected formation energy: -15.120 eV per formula unit
* energy relative to the lowest polymorph listed for this composition: 0 meV per atom

Cell lengths 11.004, 11.004, 11.004 Å; angles 90.00, 90.00, 90.00 degrees
Space group Fd-3m (No. 227, origin choice 2)
Asymmetric unit:
Ho (0.000, 0.000, 0.000) [16 per cell]
Mg (0.125, 0.125, 0.625) [8 per cell]
S (0.005, 0.005, 0.245) [32 per cell]



# 11
MnCrB3 | SCAN | single point on PBEsol structure

Calculated values
* formation enthalpy at 0 K: 696.1 meV per atom

Cell lengths 3.696, 3.696, 3.696 Å; angles 90.00, 90.00, 90.00 degrees
Space group Pm-3m (No. 221)
Asymmetric unit:
Mn (0.000, 0.000, 0.000) [1 per cell]
Cr (0.500, 0.500, 0.500) [1 per cell]
B (0.000, 0.000, 0.500) [3 per cell]



# 12
Ni2Pt | SCAN | single point on PBEsol structure

Calculated values
* formation enthalpy at 0 K: 392.4 meV per atom

Cell lengths 5.618, 5.618, 5.618 Å; angles 90.00, 90.00, 90.00 degrees
Space group Fm-3m (No. 225)
Asymmetric unit:
Ni (0.250, 0.250, 0.250) [8 per cell]
Pt (0.000, 0.000, 0.000) [4 per cell]



Number 1: total DFT energy (no corrections) -45.24 eV/atom. Number 2: total DFT energy (no corrections) -19.40 eV/atom. Number 3: total DFT energy (no corrections) -14.35 eV/atom. Number 4: total DFT energy (no corrections) -33.84 eV/atom. Number 5: total DFT energy (no corrections) -21.83 eV/atom. Number 6: total DFT energy (no corrections) -27.75 eV/atom. Number 7: total DFT energy (no corrections) -21.51 eV/atom. Number 8: total DFT energy (no corrections) -19.54 eV/atom. Number 9: total DFT energy (no corrections) -23.27 eV/atom. Number 10: total DFT energy (no corrections) -22.37 eV/atom. Number 11: total DFT energy (no corrections) -11.09 eV/atom. Number 12: total DFT energy (no corrections) -33.79 eV/atom.